{"formula": "TaPO2F", "functional": "PBE", "state": "optimized geometry", "m_tot_mub_per_atom": 0.529, "energy_ev_per_atom": -7.1210, "sg": "P4/mmm (123)", "raw_formation_energy_ev_per_fu": -6.555, "lattice_angstrom": [[3.993, 0.000, 0.000], [0.000, 3.993, 0.000], [0.000, 0.000, 4.270]], "species": ["Ta", "P", "O", "O", "F"], "fractional_positions": [[0.000, 0.000, 0.000], [0.500, 0.500, 0.500], [0.000, 0.500, 0.000], [0.500, 0.000, 0.000], [0.000, 0.000, 0.500]]}

=====

{"formula": "TaPO4F2", "functional": "PBE", "state": "optimized geometry", "m_tot_mub_per_atom": 0.000, "energy_ev_per_atom": -7.6025, "sg": "Pmn2_1 (31)", "raw_formation_energy_ev_per_fu": -19.982, "lattice_angstrom": [[5.393, 0.000, 0.000], [0.000, 7.899, 0.000], [0.000, 0.000, 5.713]], "species": ["Ta", "Ta", "P", "P", "O", "O", "O", "O", "O", "O", "O", "O", "F", "F", "F", "F"], "fractional_positions": [[0.000, 0.245, 0.000], [0.500, 0.755, 0.500], [0.000, 0.874, 0.320], [0.500, 0.126, 0.820], [0.000, 0.036, 0.152], [0.000, 0.921, 0.571], [0.241, 0.775, 0.248], [0.259, 0.225, 0.748], [0.500, 0.079, 0.071], [0.500, 0.964, 0.652], [0.741, 0.225, 0.748], [0.759, 0.775, 0.248], [0.229, 0.388, 0.151], [0.271, 0.612, 0.651], [0.729, 0.612, 0.651], [0.771, 0.388, 0.151]]}

=====

{"formula": "TaPO2F", "functional": "PBE", "state": "optimized geometry", "m_tot_mub_per_atom": 0.589, "energy_ev_per_atom": -5.8770, "sg": "P4/mmm (123)", "raw_formation_energy_ev_per_fu": -0.335, "lattice_angstrom": [[3.889, 0.000, 0.000], [0.000, 3.889, 0.000], [0.000, 0.000, 4.077]], "species": ["Ta", "P", "O", "O", "F"], "fractional_positions": [[0.000, 0.000, 0.000], [0.500, 0.500, 0.500], [0.000, 0.500, 0.500], [0.500, 0.000, 0.500], [0.500, 0.500, 0.000]]}

=====

{"formula": "TaP2OF", "functional": "PBE", "state": "optimized geometry", "m_tot_mub_per_atom": 0.000, "energy_ev_per_atom": -5.5588, "de_polymorph_ev_per_atom": 0.805, "sg": "P4/mmm (123)", "raw_formation_energy_ev_per_fu": 1.708, "lattice_angstrom": [[3.838, 0.000, 0.000], [0.000, 3.838, 0.000], [0.000, 0.000, 4.400]], "species": ["Ta", "P", "P", "O", "F"], "fractional_positions": [[0.000, 0.000, 0.000], [0.000, 0.500, 0.500], [0.500, 0.000, 0.500], [0.500, 0.500, 0.000], [0.500, 0.500, 0.500]]}

=====

{"formula": "TaPOF2", "functional": "PBE", "state": "optimized geometry", "m_tot_mub_per_atom": 0.473, "energy_ev_per_atom": -5.3067, "de_polymorph_ev_per_atom": 1.168, "sg": "P4/mmm (123)", "raw_formation_energy_ev_per_fu": -0.570, "lattice_angstrom": [[4.662, 0.000, 0.000], [0.000, 4.662, 0.000], [0.000, 0.000, 3.329]], "species": ["Ta", "P", "O", "F", "F"], "fractional_positions": [[0.000, 0.000, 0.000], [0.500, 0.500, 0.500], [0.500, 0.500, 0.000], [0.000, 0.500, 0.500], [0.500, 0.000, 0.500]]}

=====

{"formula": "TaPO2F", "functional": "PBE", "state": "optimized geometry", "m_tot_mub_per_atom": 0.188, "energy_ev_per_atom": -5.4951, "sg": "P4/mmm (123)", "raw_formation_energy_ev_per_fu": 1.575, "lattice_angstrom": [[3.990, 0.000, 0.000], [0.000, 3.990, 0.000], [0.000, 0.000, 3.563]], "species": ["Ta", "P", "O", "O", "F"], "fractional_positions": [[0.000, 0.000, 0.000], [0.500, 0.500, 0.000], [0.000, 0.500, 0.500], [0.500, 0.000, 0.500], [0.500, 0.500, 0.500]]}

=====

{"formula": "TaP2OF", "functional": "PBE", "state": "optimized geometry", "m_tot_mub_per_atom": 0.335, "energy_ev_per_atom": -6.3637, "de_polymorph_ev_per_atom": 0.000, "sg": "P4/mmm (123)", "raw_formation_energy_ev_per_fu": -2.316, "lattice_angstrom": [[4.925, 0.000, 0.000], [0.000, 4.925, 0.000], [0.000, 0.000, 3.876]], "species": ["Ta", "P", "P", "O", "F"], "fractional_positions": [[0.000, 0.000, 0.000], [0.000, 0.500, 0.000], [0.500, 0.000, 0.000], [0.000, 0.000, 0.500], [0.500, 0.500, 0.500]]}

=====

{"formula": "TaPOF2", "functional": "PBE", "state": "optimized geometry", "m_tot_mub_per_atom": 0.415, "energy_ev_per_atom": -6.4746, "de_polymorph_ev_per_atom": 0.000, "sg": "P4/mmm (123)", "raw_formation_energy_ev_per_fu": -6.410, "lattice_angstrom": [[4.275, 0.000, 0.000], [0.000, 4.275, 0.000], [0.000, 0.000, 3.922]], "species": ["Ta", "P", "O", "F", "F"], "fractional_positions": [[0.000, 0.000, 0.000], [0.500, 0.500, 0.500], [0.000, 0.000, 0.500], [0.000, 0.500, 0.000], [0.500, 0.000, 0.000]]}

=====

| no. | mass density (Mg/m³) |
| --- | --- |
| 1 | 6.41 |
| 2 | 4.28 |
| 3 | 7.08 |
| 4 | 7.12 |
| 5 | 6.10 |
| 6 | 7.70 |
| 7 | 4.91 |
| 8 | 6.16 |